# GGA-PBE PuMgNiAu, relaxed
data_PuMgNiAu
_cell_length_a 6.814
_cell_length_b 6.814
_cell_length_c 6.814
_cell_angle_alpha 90.00
_cell_angle_beta 90.00
_cell_angle_gamma 90.00
_symmetry_space_group_name_H-M 'F -4 3 m'
_symmetry_Int_Tables_number 216
_symmetry_space_group_name_Hall 'F -4 2 3'
loop_
_atom_site_label
_atom_site_type_symbol
_atom_site_fract_x
_atom_site_fract_y
_atom_site_fract_z
_atom_site_occupancy
Pu1 Pu 0.000 0.000 0.000 1
Mg1 Mg 0.000 0.000 0.500 1
Ni1 Ni 0.250 0.250 0.250 1
Au1 Au 0.250 0.250 0.750 1
# D(E_F) = 13.300 states/eV/f.u.
# ΔE_f = -190 meV per atom
# volume = 79 Å³/f.u.

---

# GGA-PBE SnCl3, relaxed
data_SnCl3
_cell_length_a 4.4039
_cell_length_b 4.4039
_cell_length_c 25.6112
_cell_angle_alpha 90.00
_cell_angle_beta 90.00
_cell_angle_gamma 120.00
_symmetry_space_group_name_H-M 'R -3 m'
_symmetry_Int_Tables_number 166
_symmetry_space_group_name_Hall '-R 3 2"'
loop_
_atom_site_label
_atom_site_type_symbol
_atom_site_fract_x
_atom_site_fract_y
_atom_site_fract_z
_atom_site_occupancy
Sn1 Sn 0.0000 0.0000 0.0000 1
Cl1 Cl 0.0000 0.0000 0.3878 1
Cl2 Cl 0.0000 0.0000 0.5000 1
# final energy = -0.207 Ry per atom
# D(E_F) = 0.000 states/eV/f.u.
# volume = 143 Å³/f.u.

---

# GGA-PBE MgSc2Pt, relaxed
data_MgSc2Pt
_cell_length_a 6.679
_cell_length_b 6.679
_cell_length_c 6.679
_cell_angle_alpha 90.00
_cell_angle_beta 90.00
_cell_angle_gamma 90.00
_symmetry_space_group_name_H-M 'F -4 3 m'
_symmetry_Int_Tables_number 216
_symmetry_space_group_name_Hall 'F -4 2 3'
loop_
_atom_site_label
_atom_site_type_symbol
_atom_site_fract_x
_atom_site_fract_y
_atom_site_fract_z
_atom_site_occupancy
Mg1 Mg 0.000 0.000 0.000 1
Sc1 Sc 0.000 0.000 0.500 1
Sc2 Sc 0.250 0.250 0.250 1
Pt1 Pt 0.250 0.250 0.750 1
# D(E_F) = 0.420 states/eV/f.u.
# ΔE_f = -573 meV per atom
# volume = 74 Å³/f.u.

---

# GGA-PBE PmSiF, relaxed
data_PmSiF
_cell_length_a 3.8353
_cell_length_b 3.8353
_cell_length_c 8.8994
_cell_angle_alpha 90.00
_cell_angle_beta 90.00
_cell_angle_gamma 120.00
_symmetry_space_group_name_H-M 'P 3 m 1'
_symmetry_Int_Tables_number 156
loop_
_symmetry_equiv_pos_as_xyz
'x,y,z'
'-y,x-y,z'
'-x+y,-x,z'
'-y,-x,z'
'-x+y,y,z'
'x,x-y,z'
loop_
_atom_site_label
_atom_site_type_symbol
_atom_site_fract_x
_atom_site_fract_y
_atom_site_fract_z
_atom_site_occupancy
Pm1 Pm 0.0000 0.0000 0.0000 1
Pm2 Pm 0.3333 0.6667 0.4183 1
Si1 Si 0.3333 0.6667 0.7569 1
Si2 Si 0.6667 0.3333 0.6516 1
F1 F 0.0000 0.0000 0.2850 1
F2 F 0.3333 0.6667 0.1285 1
# D(E_F) = 1.393 states/eV/f.u.
# volume = 57 Å³/f.u.
# polymorph energy (0 for the lowest one) = 289 meV/atom